(1)
DFT (PBE) results for an optimized crystal structure of Cs2K4Ge.

formation energy from the elements	0.081	eV per atom
V	525.25	Å³/f.u.
Fermi-level density of states	0.906	states/eV/atom
size of the total moment	0.6	μB per cell
total DFT energy (no corrections)	-1.45	eV/atom

Cell lengths 6.7604, 6.7604, 22.9854 Å; angles 90.00, 90.00, 90.00 degrees
Space group I4/mmm (No. 139)
Symmetry-distinct sites (fractional):
Cs 0.0000 0.0000 0.1534 [4 per cell]
K 0.0000 0.0000 0.3571 [4 per cell]
K 0.0000 0.5000 0.0000 [4 per cell]
Ge 0.0000 0.0000 0.5000 [2 per cell]

=====

(2)
DFT (PBE) results for an optimized crystal structure of LiCe2PmTe5.

V	278.60	Å³/f.u.
Fermi-level density of states	1.604	states/eV/atom
size of the total moment	7.8	μB per cell
total DFT energy (no corrections)	-5.09	eV/atom
formation energy without anion corrections	-123.6	kJ/mol of atoms

Cell lengths 4.4457, 18.8622, 13.2895 Å; angles 90.00, 90.00, 90.00 degrees
Space group Cmc2_1 (No. 36)
Symmetry-distinct sites (fractional):
Li 0.0000 0.0556 0.0000 [4 per cell]
Ce 0.0000 0.3756 0.8416 [4 per cell]
Ce 0.0000 0.3929 0.2217 [4 per cell]
Pm 0.0000 0.3007 0.5463 [4 per cell]
Te 0.0000 0.0020 0.3168 [4 per cell]
Te 0.0000 0.1345 0.5372 [4 per cell]
Te 0.0000 0.1864 0.8806 [4 per cell]
Te 0.0000 0.2144 0.2112 [4 per cell]
Te 0.0000 0.4544 0.6096 [4 per cell]

=====

(3)
DFT (PBE) results for an optimized crystal structure of MgZrPt14.

formation energy from the elements	-0.407	eV per atom
V	254.21	Å³/f.u.
Fermi-level density of states	1.559	states/eV/atom
size of the total moment	0.0	μB per cell
total DFT energy (no corrections)	-6.33	eV/atom

Cell lengths 5.6454, 5.6454, 7.9763 Å; angles 90.00, 90.00, 90.00 degrees
Space group P4/mmm (No. 123)
Symmetry-distinct sites (fractional):
Mg 0.0000 0.0000 0.0000 [1 per cell]
Zr 0.5000 0.5000 0.0000 [1 per cell]
Pt 0.0000 0.0000 0.5000 [1 per cell]
Pt 0.0000 0.5000 0.0000 [2 per cell]
Pt 0.0000 0.5000 0.5000 [2 per cell]
Pt 0.2495 0.2495 0.2490 [8 per cell]
Pt 0.5000 0.5000 0.5000 [1 per cell]

=====

(4)
DFT (PBE) results for an optimized crystal structure of CoAu7.

formation energy from the elements	0.151	eV per atom
V	139.47	Å³/f.u.
Fermi-level density of states	0.991	states/eV/atom
size of the total moment	6.7	μB per cell
total DFT energy (no corrections)	-3.60	eV/atom

Cell lengths 8.2321, 8.2321, 8.2321 Å; angles 90.00, 90.00, 90.00 degrees
Space group Fm-3m (No. 225)
Symmetry-distinct sites (fractional):
Co 0.0000 0.0000 0.0000 [4 per cell]
Au 0.0000 0.0000 0.5000 [4 per cell]
Au 0.0000 0.2500 0.2500 [24 per cell]